(1)
Compound: Ca3TlBi
Source: Alexandria
Functional: PBE
Structure: relaxed

Density of states at the Fermi level in states/eV per atom: 1.008
ΔE_f in eV per atom: -0.2256
Excess energy over the best structure of this formula in the dataset in meV/atom: 313

a = 5.998 Å, b = 5.998 Å, c = 5.998 Å
α = 90.00°, β = 90.00°, γ = 90.00°
Fractional coordinates of all 5 atoms:
Tl  0.500  0.500  0.500
Ca  0.000  0.500  0.000
Ca  0.000  0.000  0.500
Ca  0.500  0.000  0.000
Bi  0.000  0.000  0.000

=====

(2)
Compound: ZnPRhSe
Source: Alexandria
Functional: PBE
Structure: relaxed

Formation energy (no corrections) in meV/atom: -383
Density of states at the Fermi level in states/eV per atom: 0.345
Excess energy over the best structure of this formula in the dataset in meV/atom: 0

a = 6.419 Å, b = 3.824 Å, c = 6.604 Å
α = 90.00°, β = 105.84°, γ = 90.00°
Fractional coordinates of all 8 atoms:
Zn  0.739  0.000  0.194
Zn  0.739  0.500  0.694
P  0.075  0.000  0.025
P  0.075  0.500  0.525
Rh  0.162  0.000  0.381
Rh  0.162  0.500  0.881
Se  0.564  0.000  0.481
Se  0.564  0.500  0.981

=====

(3)
Compound: ScIn3P
Source: Alexandria
Functional: PBE
Structure: relaxed

Density of states at the Fermi level in states/eV per atom: 0.833
ΔE_f in eV per atom: 0.8916
Excess energy over the best structure of this formula in the dataset in meV/atom: 507

a = 5.560 Å, b = 5.560 Å, c = 5.560 Å
α = 90.00°, β = 90.00°, γ = 90.00°
Site moments in Bohr magnetons follow the coordinates.
Fractional coordinates of all 5 atoms:
Sc  0.000  0.000  0.000  0.63
P  0.500  0.500  0.500  -0.31
In  0.000  0.500  0.000  0.12
In  0.000  0.000  0.500  0.10
In  0.500  0.000  0.000  0.10

=====

(4)
Compound: ZnTcNi3
Source: Alexandria
Functional: PBE
Structure: relaxed

Density of states at the Fermi level in states/eV per atom: 1.486
ΔE_f in eV per atom: 1.2849
Excess energy over the best structure of this formula in the dataset in meV/atom: 123

a = 4.467 Å, b = 4.467 Å, c = 4.467 Å
α = 90.00°, β = 90.00°, γ = 90.00°
Fractional coordinates of all 5 atoms:
Ni  0.000  0.500  0.000
Ni  0.000  0.000  0.500
Ni  0.500  0.000  0.000
Zn  0.500  0.500  0.500
Tc  0.000  0.000  0.000